LaPr2Dy9 | PBE | optimized geometry

abc: 5.075 5.075 15.233
angles: 90.00 90.00 90.00
Sites, in units of the cell vectors:
La1 0.000 0.000 0.000
Pr1 0.000 0.000 0.333
Pr2 0.000 0.000 0.667
Dy1 0.500 0.500 0.000
Dy2 0.500 0.500 0.334
Dy3 0.500 0.500 0.666
Dy4 0.500 0.000 0.168
Dy5 0.500 0.000 0.500
Dy6 0.500 0.000 0.832
Dy7 0.000 0.500 0.168
Dy8 0.000 0.500 0.500
Dy9 0.000 0.500 0.832

Properties
**Calculated formation energy**: 0.025 eV per atom
**Size of the total moment**: 0.0 μB/cell
**ρ**: 7.97 g/cm3
**Calculated total energy**: -55.6 eV per cell

RbS2Cl4 | PBE | optimized geometry

abc: 10.183 7.719 7.722
angles: 72.31 76.13 106.70
Sites, in units of the cell vectors:
Rb1 0.500 0.605 0.894
Rb2 0.000 0.960 0.040
S1 0.770 0.349 0.614
S2 0.231 0.617 0.419
S3 0.296 0.924 0.342
S4 0.704 0.362 0.372
Cl1 0.290 0.955 0.601
Cl2 0.285 0.823 0.060
Cl3 0.709 0.107 0.336
Cl4 0.790 0.590 0.982
Cl5 0.209 0.228 0.200
Cl6 0.716 0.655 0.462
Cl7 0.800 0.084 0.711
Cl8 0.200 0.489 0.715

Properties
**Formation energy (no corrections)**: -0.565 eV per atom
**Size of the total moment**: 2.0 μB/cell
**ρ**: 1.87 g/cm3
**Calculated total energy**: -41.1 eV per cell

NiTeSe | PBE | optimized geometry

abc: 6.775 6.454 3.354
angles: 80.70 70.06 29.24
Sites, in units of the cell vectors:
Ni1 0.992 0.992 0.008
Se1 0.376 0.376 0.624
Te1 0.631 0.631 0.369

Properties
**Polymorph energy (0 for the lowest one)**: 345 meV/atom
**Formation energy (no corrections)**: 0.104 eV per atom
**Size of the total moment**: 0.0 μB/cell
**ρ**: 6.85 g/cm3
**Calculated total energy**: -12.1 eV per cell

Nd2GaHg8 | PBE | optimized geometry

abc: 4.725 4.725 12.589
angles: 90.00 90.00 90.00
Sites, in units of the cell vectors:
Nd1 0.000 0.000 0.308
Nd2 0.000 0.000 0.692
Ga1 0.000 0.000 0.000
Hg1 0.000 0.500 0.500
Hg2 0.500 0.000 0.500
Hg3 0.500 0.500 0.308
Hg4 0.500 0.500 0.692
Hg5 0.000 0.500 0.129
Hg6 0.500 0.000 0.129
Hg7 0.000 0.500 0.871
Hg8 0.500 0.000 0.871

Properties
**Calculated formation energy**: -0.273 eV per atom
**Size of the total moment**: 0.0 μB/cell
**ρ**: 11.60 g/cm3
**Calculated total energy**: -18.0 eV per cell